[1]
This record from Alexandria describes a relaxed CeSmSnPb crystal. The functional is GGA-PBE.

Cell and atoms, written as extended XYZ:
```
4
Lattice="0.0000 3.8864 3.8864 3.8864 0.0000 3.8864 3.8864 3.8864 0.0000" Properties=species:S:1:pos:R:3 pbc="T T T"
Ce 0.0000 0.0000 0.0000
Sm 3.8864 3.8864 3.8864
Sn 1.9432 1.9432 1.9432
Pb 5.8296 5.8296 5.8296
```

spin magnetization: 1.79 μB/cell
energy of formation: -0.468 eV/atom
Fermi-level density of states: 8.66 states/eV per cell
density: 8.72 g/cm³

***

[2]
This record from Alexandria describes a relaxed Y2HgBr crystal. The functional is GGA-PBE.

Cell and atoms, written as extended XYZ:
```
4
Lattice="0.0000 3.8378 3.8378 3.8378 0.0000 3.8378 3.8378 3.8378 0.0000" Properties=species:S:1:pos:R:3 pbc="T T T"
Y 0.0000 0.0000 0.0000
Y 1.9189 1.9189 1.9189
Hg 3.8378 3.8378 3.8378
Br 5.7567 5.7567 5.7567
```

formation energy without anion corrections: 0.087 eV per atom
E above lowest polymorph: 313 kJ/mol of formula units
spin magnetization: 0.00 μB/cell
Fermi-level density of states: 5.45 states/eV per cell
density: 6.73 g/cm³

***

[3]
This record from Alexandria describes a relaxed CaY4Ni crystal. The functional is GGA-PBE.

Cell and atoms, written as extended XYZ:
```
6
Lattice="0.0000 4.5535 4.5535 4.5535 0.0000 4.5535 4.5535 4.5535 0.0000" Properties=species:S:1:pos:R:3 pbc="T T T"
Ca 0.0000 0.0000 0.0000
Y 3.4226 3.4226 3.4226
Y 5.6844 5.6844 3.4226
Y 5.6844 3.4226 5.6844
Y 3.4226 5.6844 5.6844
Ni 6.8302 6.8302 6.8302
```

spin magnetization: 0.00 μB/cell
energy of formation: 0.607 eV/atom
Fermi-level density of states: 7.70 states/eV per cell
density: 4.00 g/cm³

***

[4]
This record from Alexandria describes a relaxed Pm2Nd12Tm5 crystal. The functional is GGA-PBE.

Cell and atoms, written as extended XYZ:
```
19
Lattice="6.5196 -5.8543 0.0000 6.5196 5.8543 0.0000 -4.1885 0.0000 8.4815" Properties=species:S:1:pos:R:3 pbc="T T T"
Pm 6.5196 3.2217 0.0000
Pm 6.5196 -3.2217 0.0000
Nd 3.1389 2.8586 1.6843
Nd -2.2700 0.0000 6.6620
Nd 2.6672 3.2884 4.9455
Nd 6.1834 3.2884 3.5360
Nd 4.7609 0.0000 0.5072
Nd 5.7117 2.8586 6.7972
Nd 3.1389 -2.8586 1.6843
Nd 4.0897 0.0000 7.9743
Nd 2.6672 -3.2884 4.9455
Nd 6.1834 -3.2884 3.5360
Nd 11.1206 0.0000 1.8195
Nd 5.7117 -2.8586 6.7972
Tm 1.4959 0.0000 1.9883
Tm 1.1918 0.0000 5.6000
Tm 4.4253 0.0000 4.2407
Tm 7.6588 0.0000 2.8815
Tm 7.3547 0.0000 6.4932
```

E above lowest polymorph: 19 kJ/mol of formula units
spin magnetization: 0.00 μB/cell
energy of formation: 0.111 eV/atom
Fermi-level density of states: 26.62 states/eV per cell
density: 7.35 g/cm³

***

[5]
This record from Alexandria describes a relaxed La3BiN crystal. The functional is GGA-PBE.

Cell and atoms, written as extended XYZ:
```
10
Lattice="3.7284 -9.2301 0.0000 3.7284 9.2301 0.0000 0.0000 0.0000 6.1683" Properties=species:S:1:pos:R:3 pbc="T T T"
La 0.0000 0.0000 0.0000
La 0.0000 0.0000 3.0842
La 1.8609 3.1265 1.5421
La 1.8609 -3.1265 4.6263
La 5.5959 3.1265 1.5421
La 5.5959 -3.1265 4.6263
Bi 3.7284 6.1272 1.5421
Bi 3.7284 -6.1272 4.6263
N 3.7284 2.2399 1.5421
N 3.7284 -2.2399 4.6263
```

formation energy without anion corrections: -0.368 eV per atom
spin magnetization: 0.00 μB/cell
Fermi-level density of states: 6.79 states/eV per cell
density: 5.00 g/cm³

***

[6]
This record from Alexandria describes a relaxed K2Ho2NpTe6 crystal. The functional is GGA-PBE.

Cell and atoms, written as extended XYZ:
```
11
Lattice="3.8244 -6.6249 0.0000 3.8244 6.6249 0.0000 -2.5781 0.0000 8.4392" Properties=species:S:1:pos:R:3 pbc="T T T"
K 3.8244 4.4087 0.0000
K 3.8244 -4.4087 0.0000
Ho 2.5353 2.2202 4.2196
Ho 2.5353 -2.2202 4.2196
Np -1.2891 0.0000 4.2196
Te -0.0142 2.1850 5.9584
Te 1.2572 0.0000 2.4929
Te -0.0142 -2.1850 5.9584
Te 5.0849 2.1850 2.4807
Te 3.8135 0.0000 5.9462
Te 5.0849 -2.1850 2.4807
```

formation energy without anion corrections: -1.165 eV per atom
spin magnetization: 3.00 μB/cell
Fermi-level density of states: 3.07 states/eV per cell
density: 5.48 g/cm³

***

[7]
This record from Alexandria describes a relaxed KVHg crystal. The functional is GGA-PBE.

Cell and atoms, written as extended XYZ:
```
6
Lattice="3.2048 0.0000 0.0000 0.0002 4.6617 0.0000 0.1588 0.0086 12.1383" Properties=species:S:1:pos:R:3 pbc="T T T"
K 0.0000 0.0000 0.0000
K 1.5399 2.3312 3.8810
V 0.2780 2.3299 8.9532
V 1.1909 2.3306 7.2534
Hg 1.8076 4.6609 9.1189
Hg 2.9727 4.6621 6.2400
```

E above lowest polymorph: 16 kJ/mol of formula units
spin magnetization: 0.00 μB/cell
energy of formation: 0.352 eV/atom
Fermi-level density of states: 3.89 states/eV per cell
density: 5.32 g/cm³

***

[8]
This record from Alexandria describes a relaxed Hg4BiPb crystal. The functional is GGA-PBE.

Cell and atoms, written as extended XYZ:
```
6
Lattice="0.0000 4.3367 4.3367 4.3367 0.0000 4.3367 4.3367 4.3367 0.0000" Properties=species:S:1:pos:R:3 pbc="T T T"
Hg 1.0842 1.0842 1.0842
Hg 3.2526 3.2526 1.0842
Hg 3.2526 1.0842 3.2526
Hg 1.0842 3.2526 3.2526
Bi 6.5051 6.5051 6.5051
Pb 4.3367 4.3367 4.3367
```

E above lowest polymorph: 50 kJ/mol of formula units
spin magnetization: 0.00 μB/cell
energy of formation: 0.138 eV/atom
Fermi-level density of states: 2.28 states/eV per cell
density: 12.40 g/cm³

***

[9]
This record from Alexandria describes a relaxed Y2TmBi crystal. The functional is GGA-PBE.

Cell and atoms, written as extended XYZ:
```
8
Lattice="2.3389 -11.2438 0.0000 2.3389 11.2438 0.0000 0.0000 0.0000 4.6113" Properties=species:S:1:pos:R:3 pbc="T T T"
Y 2.3389 9.8822 3.4585
Y 2.3389 1.4084 3.4585
Y 2.3389 -1.4084 1.1528
Y 2.3389 -9.8822 1.1528
Tm 2.3389 4.2580 1.1528
Tm 2.3389 -4.2580 3.4585
Bi 2.3389 7.3998 1.1528
Bi 2.3389 -7.3998 3.4585
```

E above lowest polymorph: 0 kJ/mol of formula units
spin magnetization: 0.00 μB/cell
energy of formation: -0.385 eV/atom
Fermi-level density of states: 8.71 states/eV per cell
density: 7.61 g/cm³

***

[10]
This record from Alexandria describes a relaxed Y2ZrMn crystal. The functional is GGA-PBE.

Cell and atoms, written as extended XYZ:
```
4
Lattice="3.4094 0.0000 0.0000 0.0000 3.4094 0.0000 0.0000 0.0000 8.5457" Properties=species:S:1:pos:R:3 pbc="T T T"
Y 0.0000 0.0000 1.9242
Y 0.0000 0.0000 6.6214
Zr 1.7047 1.7047 4.2728
Mn 1.7047 1.7047 0.0000
```

E above lowest polymorph: 34 kJ/mol of formula units
spin magnetization: 3.88 μB/cell
energy of formation: 0.194 eV/atom
Fermi-level density of states: 4.79 states/eV per cell
density: 5.42 g/cm³

***

[11]
This record from Alexandria describes a relaxed YMgInBi2 crystal. The functional is GGA-PBE.

Cell and atoms, written as extended XYZ:
```
5
Lattice="5.5462 0.0000 0.0000 0.0000 5.5462 0.0000 0.0000 0.0000 5.2555" Properties=species:S:1:pos:R:3 pbc="T T T"
Y 0.0000 0.0000 0.0000
Mg 2.7731 2.7731 2.6277
In 2.7731 2.7731 0.0000
Bi 0.0000 2.7731 2.6277
Bi 2.7731 0.0000 2.6277
```

spin magnetization: 0.00 μB/cell
energy of formation: 0.187 eV/atom
Fermi-level density of states: 3.33 states/eV per cell
density: 6.64 g/cm³

***

[12]
This record from Alexandria describes a relaxed CuSbTe2S crystal. The functional is GGA-PBE.

Cell and atoms, written as extended XYZ:
```
5
Lattice="5.0143 0.0000 0.0000 0.0000 5.0143 0.0000 0.0000 0.0000 5.2384" Properties=species:S:1:pos:R:3 pbc="T T T"
Cu 0.0000 0.0000 0.0000
Sb 0.0000 0.0000 2.6192
Te 0.0000 2.5071 0.0000
Te 2.5071 0.0000 0.0000
S 2.5071 2.5071 2.6192
```

formation energy without anion corrections: 0.651 eV per atom
E above lowest polymorph: 0 kJ/mol of formula units
spin magnetization: 0.00 μB/cell
Fermi-level density of states: 6.65 states/eV per cell
density: 5.96 g/cm³

***

Q: Which value of spin magnetization does entry 11 give?
A: 0.00 μB/cell

***

Q: Which value of spin magnetization does entry 2 give?
A: 0.00 μB/cell

***

Q: Among the records above, which one has the lowest Fermi-level density of states?
A: Hg4BiPb

***

Q: The highest density belongs to which entry?
A: Hg4BiPb